A plane-wave DFT calculation with PBE-GGA was carried out for crystalline ThScMnNi at its relaxed geometry.

abc: 4.704 4.704 4.704
angles: 60.00 60.00 60.00
Fractional positions:
Th1 0.000 0.000 0.000
Sc1 0.500 0.500 0.500
Mn1 0.250 0.250 0.250
Ni1 0.750 0.750 0.750

Computed properties:
For the uncorrected energy, the calculation gives -29.020 eV/cell. Its space-group type is F-43m. As for the density of states at the Fermi level: 2.95 states/eV/f.u.